# 1
NpInI4 after structural relaxation, computed with PBE.

a b c (Å): 4.6259 10.5340 12.7596
angles (deg): 78.93 79.56 77.32
With the nearest neighbours (Å) after each atom.
Fractional coordinates of all 12 atoms:
Np1 0.5000 0.5000 0.0000  6 I 3.07-3.16
Np2 0.0000 0.0000 0.5000  6 I 3.07-3.16
In1 0.7645 0.7500 0.2500  6 I 3.45-3.54
In2 0.2355 0.2500 0.7500  6 I 3.45-3.54
I1 0.6478 0.2144 0.9575  1 Np 3.07
I2 0.8197 0.2856 0.5425  1 Np 3.07
I3 0.4467 0.9343 0.6709  2 Np 3.15-3.16
I4 0.0519 0.5657 0.8291  2 Np 3.15-3.16
I5 0.5533 0.0657 0.3291  2 Np 3.15-3.16
I6 0.3522 0.7856 0.0425  1 Np 3.07
I7 0.1803 0.7144 0.4575  1 Np 3.07
I8 0.9481 0.4343 0.1709  2 Np 3.15-3.16

## Properties
Crystal system: monoclinic
DFT total energy: -4.3707 eV per atom



# 2
BaTlW3 after structural relaxation, computed with PBE.

a b c (Å): 5.1709 5.1709 5.1709
angles (deg): 90.00 90.00 90.00
With the nearest neighbours (Å) after each atom.
Fractional coordinates of all 5 atoms:
Tl1 0.0000 0.0000 0.0000  6 W 2.59
Ba1 0.5000 0.5000 0.5000  12 W 3.66
W1 0.0000 0.5000 0.0000  2 Tl 2.59
W2 0.0000 0.0000 0.5000  2 Tl 2.59
W3 0.5000 0.0000 0.0000  2 Tl 2.59

## Properties
Crystal system: cubic
Formation energy from the elements: 2.8109 eV per atom
Excess energy over the best structure of this formula in the dataset: 0.000 eV per atom



# 3
HfZr2S after structural relaxation, computed with PBE.

a b c (Å): 4.9203 7.0276 5.8168
angles (deg): 72.60 115.02 90.00
With the nearest neighbours (Å) after each atom.
Fractional coordinates of all 8 atoms:
Hf1 0.0000 0.2500 0.0000  2 S 2.46
Hf2 0.0000 0.7500 0.0000  2 S 2.46
Zr1 0.3219 0.5884 0.6438  2 S 2.49-2.50
Zr2 0.6781 0.4116 0.3562  2 S 2.49-2.50
Zr3 0.3219 0.0884 0.6438  2 S 2.49-2.50
Zr4 0.6781 0.9116 0.3562  2 S 2.49-2.50
S1 0.5001 0.7500 0.0000  2 Hf 2.46, 4 Zr 2.49-2.50
S2 0.4999 0.2500 0.0000  2 Hf 2.46, 4 Zr 2.49-2.50

## Properties
Crystal system: monoclinic
DFT total energy: -8.4450 eV per atom



# 4
Pr2GaSbPt6 after structural relaxation, computed with PBE.

a b c (Å): 5.6787 8.8325 8.8310
angles (deg): 37.50 71.23 89.99
With the nearest neighbours (Å) after each atom.
Fractional coordinates of all 10 atoms:
Pr1 0.2026 0.7977 0.5946  9 Pt 3.04-3.29, 3 Ga 3.39-3.40
Pr2 0.7974 0.2023 0.4054  9 Pt 3.04-3.29, 3 Ga 3.39-3.40
Ga1 0.5000 0.5000 0.0000  6 Pt 2.55
Sb1 0.0000 0.0000 0.0000  6 Pt 2.70
Pt1 0.2542 0.7452 0.9943  1 Ga 2.55, 1 Sb 2.70, 4 Pt 2.82-2.85
Pt2 0.7516 0.7452 0.9943  1 Ga 2.55, 1 Sb 2.70, 4 Pt 2.82-2.85
Pt3 0.2543 0.2477 0.4916  1 Ga 2.55, 1 Sb 2.70, 4 Pt 2.82-2.85
Pt4 0.7458 0.2548 0.0057  1 Ga 2.55, 1 Sb 2.70, 4 Pt 2.82-2.85
Pt5 0.2484 0.2548 0.0057  1 Ga 2.55, 1 Sb 2.70, 4 Pt 2.82-2.85
Pt6 0.7457 0.7523 0.5084  1 Ga 2.55, 1 Sb 2.70, 4 Pt 2.82-2.85

## Properties
Crystal system: trigonal
DFT total energy: -6.0537 eV per atom



# 5
HfBi2SbBr after structural relaxation, computed with PBE.

a b c (Å): 5.8359 5.2784 5.8359
angles (deg): 90.00 90.00 90.00
With the nearest neighbours (Å) after each atom.
Fractional coordinates of all 5 atoms:
Sb1 0.0000 0.0000 0.0000  2 Br 2.64, 4 Bi 2.92
Hf1 0.5000 0.5000 0.5000  8 Bi 3.93, 4 Br 4.13
Bi1 0.0000 0.0000 0.5000  2 Sb 2.92
Bi2 0.5000 0.0000 0.0000  2 Sb 2.92
Br1 0.0000 0.5000 0.0000  2 Sb 2.64

## Properties
Crystal system: tetragonal
DFT total energy: -3.7937 eV per atom



# 6
Cr2CoSi after structural relaxation, computed with PBE.

a b c (Å): 2.8914 2.8914 5.4662
angles (deg): 90.00 90.00 90.00
With the nearest neighbours (Å) after each atom.
Fractional coordinates of all 4 atoms:
Co1 0.5000 0.5000 0.7323  4 Si 2.38, 4 Cr 2.58
Cr1 0.0000 0.0000 0.0192  4 Cr 2.37, 4 Co 2.58
Cr2 0.5000 0.5000 0.2399  4 Cr 2.37, 4 Si 2.52
Si1 0.0000 0.0000 0.5086  4 Co 2.38, 4 Cr 2.52

## Properties
Crystal system: tetragonal
DFT total energy: -8.1255 eV per atom



# 7
HoSc5Al4 after structural relaxation, computed with PBE.

a b c (Å): 3.3527 3.3527 18.6890
angles (deg): 90.00 90.00 90.00
With the nearest neighbours (Å) after each atom.
Fractional coordinates of all 10 atoms:
Ho1 0.0000 0.0000 0.0000  4 Ho 3.35, 8 Sc 3.40
Sc1 0.5000 0.5000 0.1304  4 Al 2.93
Sc2 0.5000 0.5000 0.3163  8 Al 2.93-2.94
Sc3 0.5000 0.5000 0.5000  8 Al 2.93
Sc4 0.5000 0.5000 0.6837  8 Al 2.93-2.94
Sc5 0.5000 0.5000 0.8696  4 Al 2.93
Al1 0.0000 0.0000 0.2230  8 Sc 2.93-2.94
Al2 0.0000 0.0000 0.4080  8 Sc 2.93
Al3 0.0000 0.0000 0.5920  8 Sc 2.93
Al4 0.0000 0.0000 0.7770  8 Sc 2.93-2.94

## Properties
Crystal system: tetragonal
Formation energy from the elements: -0.3535 eV per atom



# 8
CdRu2IF after structural relaxation, computed with PBE.

a b c (Å): 5.1958 4.2798 5.1958
angles (deg): 90.00 90.00 90.00
With the nearest neighbours (Å) after each atom.
Fractional coordinates of all 5 atoms:
I1 0.5000 0.5000 0.5000  8 Ru 3.37, 4 F 3.67
Ru1 0.0000 0.0000 0.5000  2 Cd 2.60
Ru2 0.5000 0.0000 0.0000  2 Cd 2.60
F1 0.0000 0.5000 0.0000  2 Cd 2.14
Cd1 0.0000 0.0000 0.0000  2 F 2.14

## Properties
Crystal system: tetragonal
DFT total energy: -3.5503 eV per atom